[1]
DyAs2RhO8, relaxed, DFT PBE; total magnetization = 0.00 μB/cell; formation energy (no corrections) = -1701 kJ/mol of formula units; E_tot = -6.546 eV per atom
1.0
5.449 0.000 0.000
-2.725 4.719 0.000
0.000 0.000 6.598
O As Rh Dy
8 2 1 1
direct
0.844 0.688 0.216 O
0.312 0.156 0.216 O
0.667 0.333 0.535 O
0.333 0.667 0.465 O
0.688 0.844 0.784 O
0.156 0.312 0.784 O
0.156 0.844 0.784 O
0.844 0.156 0.216 O
0.333 0.667 0.720 As
0.667 0.333 0.280 As
0.000 0.000 0.000 Rh
0.000 0.000 0.500 Dy

---

[2]
Nd2MnAs4Pd3, relaxed, DFT PBE; total magnetization = 3.73 μB/cell; formation energy from the elements = -0.79 eV/atom; E_tot = -6.078 eV per atom
1.0
-1.358 -3.109 -2.745
0.193 -2.933 3.226
-9.758 2.080 2.473
As Mn Nd Pd
4 1 2 3
direct
0.500 0.500 0.000 As
0.500 0.000 0.631 As
0.000 0.500 0.369 As
0.000 0.000 0.000 As
0.500 0.500 0.500 Mn
0.000 0.500 0.757 Nd
0.500 0.000 0.243 Nd
0.000 0.000 0.500 Pd
0.500 0.000 0.872 Pd
0.000 0.500 0.128 Pd

---

[3]
TiGaTcW, relaxed, DFT PBE; total magnetization = 0.27 μB/cell; formation energy from the elements = -0.15 eV/atom; E_tot = -8.715 eV per atom
1.0
4.423 0.000 0.000
2.212 3.831 0.000
2.212 1.277 3.612
Tc Ti W Ga
1 1 1 1
direct
0.500 0.500 0.500 Tc
0.000 0.000 0.000 Ti
0.250 0.250 0.250 W
0.750 0.750 0.750 Ga

---

[4]
Na2TiBi, relaxed, DFT PBE; total magnetization = 5.62 μB/cell; formation energy from the elements = 0.39 eV/atom; E_tot = -3.215 eV per atom
1.0
-6.977 -5.118 2.345
5.262 -4.603 5.613
-1.498 -3.022 6.086
Bi Ti Na
2 2 4
direct
0.750 0.250 0.500 Bi
0.000 0.000 0.000 Bi
0.250 0.750 0.500 Ti
0.500 0.500 0.000 Ti
0.110 0.625 0.250 Na
0.640 0.125 0.250 Na
0.375 0.360 0.750 Na
0.875 0.890 0.750 Na

---

[5]
SrSc2Cl, relaxed, DFT PBE; total magnetization = 0.00 μB/cell; formation energy (no corrections) = 146 kJ/mol of formula units; E_tot = -3.669 eV per atom
1.0
0.000 3.888 3.888
3.888 0.000 3.888
3.888 3.888 0.000
Sc Sr Cl
2 1 1
direct
0.250 0.250 0.250 Sc
0.750 0.750 0.750 Sc
0.500 0.500 0.500 Sr
0.000 0.000 0.000 Cl